# 1
Computed, not measured: Sc2OsRu after structural relaxation at the PBE level of DFT.

Unit cell a=3.246 b=3.246 c=6.859 alpha=90.00 beta=90.00 gamma=90.00
Fractional coordinates of all 4 atoms:
1 Sc 0.000 0.000 0.000
2 Sc 0.500 0.500 0.351
3 Os 0.000 0.000 0.553
4 Ru 0.500 0.500 0.804

For the energy of formation from the pure elements, the calculation gives 0.02 eV per atom. As for the space-group type: P4mm, No. 99. The size of the total moment comes out at 0.00 μB/f.u.

***

# 2
Computed, not measured: AlOsPt after structural relaxation at the PBE level of DFT.

Unit cell a=2.771 b=2.771 c=11.360 alpha=90.00 beta=90.00 gamma=90.00
Fractional coordinates of all 6 atoms:
1 Al 0.000 0.000 0.000
2 Al 0.500 0.500 0.500
3 Os 0.000 0.000 0.343
4 Os 0.500 0.500 0.843
5 Pt 0.000 0.000 0.664
6 Pt 0.500 0.500 0.164

The calculation puts the excess energy over the best structure of this formula in the dataset at 0.017 eV per atom. For the energy of formation from the pure elements, the calculation gives -0.28 eV per atom. As for the space-group type: I4mm, No. 107. The size of the total moment comes out at 0.00 μB/f.u.

***

# 3
Computed, not measured: BaScMo2 after structural relaxation at the PBE level of DFT.

Unit cell a=3.075 b=3.075 c=32.093 alpha=90.00 beta=90.00 gamma=120.00
Fractional coordinates of all 12 atoms:
1 Ba 0.000 0.000 0.000
2 Ba 0.333 0.667 0.667
3 Ba 0.667 0.333 0.333
4 Sc 0.000 0.000 0.500
5 Sc 0.333 0.667 0.167
6 Sc 0.667 0.333 0.833
7 Mo 0.000 0.000 0.240
8 Mo 0.000 0.000 0.760
9 Mo 0.333 0.667 0.427
10 Mo 0.333 0.667 0.906
11 Mo 0.667 0.333 0.094
12 Mo 0.667 0.333 0.573

The calculation puts the excess energy over the best structure of this formula in the dataset at 0.623 eV per atom. For the energy of formation from the pure elements, the calculation gives 1.01 eV per atom. As for the space-group type: R-3m, No. 166. The size of the total moment comes out at 0.00 μB/f.u.

***

# 4
Computed, not measured: Tl2GaOsO6 after structural relaxation at the PBE level of DFT.

Unit cell a=6.164 b=6.164 c=5.242 alpha=90.00 beta=90.00 gamma=120.00
Fractional coordinates of all 10 atoms:
1 Tl 0.333 0.667 0.325
2 Tl 0.667 0.333 0.675
3 Ga 0.000 0.000 0.000
4 Os 0.000 0.000 0.500
5 O 0.140 0.281 0.728
6 O 0.140 0.860 0.728
7 O 0.281 0.140 0.272
8 O 0.719 0.860 0.728
9 O 0.860 0.140 0.272
10 O 0.860 0.719 0.272

The formation energy without anion corrections comes out at -88 kJ per mole of atoms. As for the space-group type: P-3m1, No. 164. The size of the total moment comes out at 0.07 μB/f.u.

***

# 5
Computed, not measured: Si2Se after structural relaxation at the PBE level of DFT.

Unit cell a=4.883 b=7.181 c=3.285 alpha=90.00 beta=90.00 gamma=90.00
Fractional coordinates of all 6 atoms:
1 Si 0.141 0.143 0.000
2 Si 0.359 0.643 0.500
3 Si 0.641 0.357 0.500
4 Si 0.859 0.857 0.000
5 Se 0.000 0.500 0.000
6 Se 0.500 0.000 0.500

The formation energy without anion corrections comes out at 52 kJ per mole of atoms. The calculation puts the excess energy over the best structure of this formula in the dataset at 0.708 eV per atom. As for the space-group type: Pnnm, No. 58. The size of the total moment comes out at 0.00 μB/f.u.

***

# 6
Computed, not measured: Y2NbIr after structural relaxation at the PBE level of DFT.

Unit cell a=7.076 b=7.076 c=7.076 alpha=90.00 beta=90.00 gamma=90.00
Fractional coordinates of all 16 atoms:
1 Y 0.250 0.250 0.250
2 Y 0.250 0.250 0.750
3 Y 0.250 0.750 0.250
4 Y 0.250 0.750 0.750
5 Y 0.750 0.250 0.250
6 Y 0.750 0.250 0.750
7 Y 0.750 0.750 0.250
8 Y 0.750 0.750 0.750
9 Nb 0.000 0.000 0.000
10 Nb 0.000 0.500 0.500
11 Nb 0.500 0.000 0.500
12 Nb 0.500 0.500 0.000
13 Ir 0.000 0.000 0.500
14 Ir 0.000 0.500 0.000
15 Ir 0.500 0.000 0.000
16 Ir 0.500 0.500 0.500

The calculation puts the excess energy over the best structure of this formula in the dataset at 0.000 eV per atom. For the energy of formation from the pure elements, the calculation gives -0.05 eV per atom. As for the space-group type: Fm-3m, No. 225. The size of the total moment comes out at 3.08 μB/f.u.